Record 1
Compound: YBeNiB
Source: the Open Quantum Materials Database
Functional: PBE-GGA
Structure: relaxed

Unit cell a=4.1513 b=4.1513 c=4.1513 alpha=60.00 beta=60.00 gamma=60.00
Sites, in units of the cell vectors:
B 0.2500 0.2500 0.2500
Be 0.7500 0.7500 0.7500
Ni 0.5000 0.5000 0.5000
Y 0.0000 0.0000 0.0000

Calculated values
- excess energy over the best structure of this formula in the dataset (meV/atom) = 0
- space group = F-43m
- E (eV/atom) = -5.48

Record 2
Compound: Hf3Zn3C
Source: the Open Quantum Materials Database
Functional: PBE-GGA
Structure: relaxed

Unit cell a=8.5665 b=8.5665 c=8.5665 alpha=120.00 beta=90.00 gamma=120.00
Sites, in units of the cell vectors:
C 0.3750 0.7500 0.1250
C 0.3750 0.2500 0.6250
C 0.3750 0.7500 0.6250
C 0.8750 0.2500 0.6250
Hf 0.6887 0.0000 0.3113
Hf 0.3113 0.0000 0.3113
Hf 0.3113 0.6226 0.3113
Hf 0.0613 0.1226 0.5613
Hf 0.0613 0.5000 0.5613
Hf 0.4387 0.5000 0.5613
Hf 0.6887 0.0000 0.6887
Hf 0.3113 0.0000 0.6887
Hf 0.6887 0.3774 0.6887
Hf 0.0613 0.5000 0.9387
Hf 0.4387 0.5000 0.9387
Hf 0.4387 0.8774 0.9387
Zn 0.6683 0.3365 0.0048
Zn 0.3750 0.2500 0.1250
Zn 0.8750 0.2500 0.1250
Zn 0.8750 0.7500 0.1250
Zn 0.0817 0.1635 0.2452
Zn 0.6683 0.3365 0.3317
Zn 0.6683 0.6635 0.3317
Zn 0.9952 0.6635 0.3317
Zn 0.8750 0.7500 0.6250
Zn 0.0817 0.1635 0.9183
Zn 0.0817 0.8365 0.9183
Zn 0.7548 0.8365 0.9183

Calculated values
- space group = Fd-3m
- E (eV/atom) = -6.60

Record 3
Compound: Pr2Zn3Pt4
Source: the Open Quantum Materials Database
Functional: PBE-GGA
Structure: relaxed

Unit cell a=8.3395 b=8.3395 c=7.6604 alpha=90.00 beta=90.00 gamma=140.21
Sites, in units of the cell vectors:
Pr 0.1127 0.8873 0.0848
Pr 0.6127 0.3873 0.4152
Pr 0.3873 0.6127 0.5848
Pr 0.8873 0.1127 0.9152
Pt 0.6787 0.3213 0.0245
Pt 0.1902 0.3098 0.2500
Pt 0.6902 0.8098 0.2500
Pt 0.1787 0.8213 0.4755
Pt 0.8213 0.1787 0.5245
Pt 0.3098 0.1902 0.7500
Pt 0.8098 0.6902 0.7500
Pt 0.3213 0.6787 0.9755
Zn 0.5000 0.5000 0.0000
Zn 0.0229 0.4771 0.2500
Zn 0.5229 0.9771 0.2500
Zn 0.0000 0.0000 0.5000
Zn 0.4771 0.0229 0.7500
Zn 0.9771 0.5229 0.7500

Calculated values
- energy relative to the elements (meV/atom) = -840
- space group = Cmce
- E (eV/atom) = -5.01

Record 4
Compound: NbInFeCo
Source: the Open Quantum Materials Database
Functional: PBE-GGA
Structure: relaxed

Unit cell a=4.3451 b=4.3451 c=4.3451 alpha=60.00 beta=60.00 gamma=60.00
Sites, in units of the cell vectors:
Co 0.7500 0.7500 0.7500
Fe 0.2500 0.2500 0.2500
In 0.0000 0.0000 0.0000
Nb 0.5000 0.5000 0.5000

Calculated values
- excess energy over the best structure of this formula in the dataset (meV/atom) = 0
- space group = F-43m
- E (eV/atom) = -7.07

Record 5
Compound: ScCoB2
Source: the Open Quantum Materials Database
Functional: PBE-GGA
Structure: relaxed

Unit cell a=3.8477 b=3.8477 c=3.8477 alpha=60.00 beta=60.00 gamma=60.00
Sites, in units of the cell vectors:
B 0.2500 0.2500 0.2500
B 0.5000 0.5000 0.5000
Co 0.7500 0.7500 0.7500
Sc 0.0000 0.0000 0.0000

Calculated values
- space group = F-43m
- E (eV/atom) = -6.15

Record 6
Compound: HoScCN2O2
Source: the Open Quantum Materials Database
Functional: PBE-GGA
Structure: relaxed

Unit cell a=3.5656 b=3.5656 c=8.0135 alpha=90.00 beta=90.00 gamma=120.00
Sites, in units of the cell vectors:
C 0.0000 0.0000 0.0053
Ho 0.6667 0.3333 0.6769
N 0.0000 0.0000 0.1586
N 0.0000 0.0000 0.8506
O 0.6667 0.3333 0.3886
O 0.3333 0.6667 0.5922
Sc 0.3333 0.6667 0.3278

Calculated values
- space group = P3m1
- E (eV/atom) = -8.78